BaCoP (PBE, relaxed); calculated density = 4.0 Mg/m³; symmetry = No. 216; V = 93 Å³/cell; formation energy from the elements = 918 meV per atom
1.0
0.000 3.600 3.600
3.600 0.000 3.600
3.600 3.600 0.000
Ba Co P
1 1 1
Direct
0.000 0.000 0.000
0.750 0.750 0.750
0.250 0.250 0.250


BaCoP (PBE, relaxed); calculated density = 6.2 Mg/m³; symmetry = No. 107; V = 61 Å³/cell; formation energy from the elements = -88 meV per atom
1.0
-1.625 1.625 5.739
1.625 -1.625 5.739
1.625 1.625 -5.739
Ba Co P
1 1 1
Direct
0.000 0.000 0.000
0.724 0.724 0.000
0.279 0.279 0.000


BaCo3P (PBE, relaxed); calculated density = 5.1 Mg/m³; energy above the lowest structure with this stoichiometry = 2.259 eV/atom; symmetry = No. 221; V = 113 Å³/cell; formation energy from the elements = 2394 meV per atom
1.0
4.833 0.000 0.000
0.000 4.833 0.000
0.000 0.000 4.833
Ba Co P
1 3 1
Direct
0.000 0.000 0.000
0.000 0.000 0.500
0.000 0.500 0.000
0.500 0.000 0.000
0.500 0.500 0.500


BaCoP (PBE, relaxed); calculated density = 4.7 Mg/m³; symmetry = No. 216; V = 80 Å³/cell; formation energy from the elements = 200 meV per atom
1.0
0.000 3.424 3.424
3.424 0.000 3.424
3.424 3.424 0.000
Ba Co P
1 1 1
Direct
0.000 0.000 0.000
0.500 0.500 0.500
0.750 0.750 0.750